Entry 1:
Computed, not measured: a relaxed Sc4CdPC2 crystal at the PBE level of DFT.

Summary:
- V: 138.7 Å³/f.u.
- Energy: -6.90 eV per atom

POSCAR file:
```
Sc4CdPC2
1.0
3.384 0.000 0.000
-1.692 2.931 0.000
0.000 0.000 13.982
C Sc Cd P
2 4 1 1
direct
0.333 0.667 0.273
0.333 0.667 0.727
0.667 0.333 0.807
0.667 0.333 0.193
0.000 0.000 0.369
0.000 0.000 0.631
0.000 0.000 0.000
0.667 0.333 0.500
```

Entry 2:
Computed, not measured: a relaxed TbTlAg3S4 crystal at the PBE level of DFT.

Summary:
- V: 243.6 Å³/f.u.
- Energy: -4.05 eV per atom
- Energy above the lowest structure with this stoichiometry: 12 meV per atom

POSCAR file:
```
TbTlAg3S4
1.0
6.245 0.000 0.000
0.000 6.245 0.000
0.000 0.000 6.245
S Tb Tl Ag
4 1 1 3
direct
0.760 0.760 0.760
0.240 0.240 0.760
0.760 0.240 0.240
0.240 0.760 0.240
0.000 0.000 0.000
0.500 0.500 0.500
0.000 0.500 0.000
0.000 0.000 0.500
0.500 0.000 0.000
```

Entry 3:
Computed, not measured: a relaxed RbHfAgTe2Se crystal at the PBE level of DFT.

Summary:
- V: 188.1 Å³/f.u.
- Energy: -4.79 eV per atom
- Energy above the lowest structure with this stoichiometry: 0 meV per atom

POSCAR file:
```
RbHfAgTe2Se
1.0
-7.295 -5.055 -1.066
2.237 -3.387 0.753
1.385 3.239 10.450
Te Rb Ag Hf Se
4 2 2 2 2
direct
0.057 0.250 0.378
0.227 0.250 0.935
0.773 0.750 0.065
0.943 0.750 0.622
0.731 0.250 0.774
0.269 0.750 0.226
0.575 0.250 0.100
0.425 0.750 0.900
0.802 0.750 0.331
0.198 0.250 0.669
0.618 0.250 0.351
0.382 0.750 0.649
```